one:
## YSc3 (GGA-PBEsol)

Data for a geometry-optimized YSc3 structure.

The structure belongs to space group P-6m2 (No. 187); the cell edges are 3.3518, 3.3518 and 10.3773 Å and the angles 90.00°, 90.00° and 120.00°. The inequivalent atoms are Y at (0.0000, 0.0000, 0.0000), Sc at (0.0000, 0.0000, 0.5000) and Sc at (0.3333, 0.6667, 0.2607).

---

two:
## YSc3 (GGA-PBEsol)

Data for a geometry-optimized YSc3 structure.

The structure belongs to space group I4/mmm (No. 139); the cell edges are 4.650, 4.650 and 18.567 Å and the angles 90.00°, 90.00° and 90.00°. The inequivalent atoms are Y at (0.000, 0.000, 0.124), Sc at (0.000, 0.000, 0.374), Sc at (0.000, 0.500, 0.000) and Sc at (0.000, 0.500, 0.250).

---

Which structure wins on stability? one wins.

---

one:
## Cr2WCl (GGA-PBEsol)

Data for a geometry-optimized Cr2WCl structure.

The structure belongs to space group Cmm2 (No. 35); the cell edges are 2.953, 4.603 and 8.062 Å and the angles 90.00°, 90.00° and 90.00°. The inequivalent atoms are Cr at (0.000, 0.000, 0.000), Cr at (0.000, 0.500, 0.215), W at (0.000, 0.500, 0.745) and Cl at (0.000, 0.000, 0.461).

---

two:
## Cr2WCl (GGA-PBEsol)

Data for a geometry-optimized Cr2WCl structure.

The structure belongs to space group I4/mmm (No. 139); the cell edges are 3.983, 3.983 and 7.052 Å and the angles 90.00°, 90.00° and 90.00°. The inequivalent atoms are Cr at (0.000, 0.500, 0.250), W at (0.000, 0.000, 0.000) and Cl at (0.000, 0.000, 0.500).

---

Which structure wins on stability? one wins.

---

one:
## BaZr2Fe (GGA-PBEsol)

Data for a geometry-optimized BaZr2Fe structure.

The structure belongs to space group Cm (No. 8); the cell edges are 6.940, 3.727 and 8.388 Å and the angles 90.00°, 106.79° and 90.00°. The inequivalent atoms are Ba at (0.000, 0.000, 0.000), Zr at (0.186, 0.000, 0.635), Zr at (0.425, 0.000, 0.357) and Fe at (0.304, 0.500, 0.493).

---

two:
## BaZr2Fe (GGA-PBEsol)

Data for a geometry-optimized BaZr2Fe structure.

The structure belongs to space group P2/m (No. 10); the cell edges are 3.225, 3.225 and 9.055 Å and the angles 90.00°, 90.25° and 90.00°. The inequivalent atoms are Ba at (0.000, 0.000, 0.000), Zr at (0.498, 0.500, 0.661) and Fe at (0.000, 0.000, 0.500).

---

Which structure wins on stability? one wins.

---

one:
## Re2TcPt (GGA-PBEsol)

Data for a geometry-optimized Re2TcPt structure.

The structure belongs to space group I4/mmm (No. 139); the cell edges are 3.870, 3.870 and 7.689 Å and the angles 90.00°, 90.00° and 90.00°. The inequivalent atoms are Re at (0.000, 0.500, 0.250), Tc at (0.000, 0.000, 0.000) and Pt at (0.000, 0.000, 0.500).

---

two:
## Re2TcPt (GGA-PBEsol)

Data for a geometry-optimized Re2TcPt structure.

The structure belongs to space group P4mm (No. 99); the cell edges are 2.727, 2.727 and 7.796 Å and the angles 90.00°, 90.00° and 90.00°. The inequivalent atoms are Re at (0.000, 0.000, 0.000), Re at (0.500, 0.500, 0.247), Tc at (0.000, 0.000, 0.485) and Pt at (0.500, 0.500, 0.745).

---

Which structure wins on stability? one wins.

---

one:
## KSr2W (GGA-PBEsol)

Data for a geometry-optimized KSr2W structure.

The structure belongs to space group P4/mmm (No. 123); the cell edges are 5.764, 5.764 and 4.122 Å and the angles 90.00°, 90.00° and 90.00°. The inequivalent atoms are K at (0.000, 0.000, 0.000), Sr at (0.000, 0.500, 0.500) and W at (0.500, 0.500, 0.000).

---

two:
## KSr2W (GGA-PBEsol)

Data for a geometry-optimized KSr2W structure.

The structure belongs to space group P4/mmm (No. 123); the cell edges are 3.394, 3.394 and 12.188 Å and the angles 90.00°, 90.00° and 90.00°. The inequivalent atoms are K at (0.000, 0.000, 0.000), Sr at (0.500, 0.500, 0.322) and W at (0.000, 0.000, 0.500).

---

Which structure wins on stability? two wins.

---

one:
## BaIrOs2 (GGA-PBEsol)

Data for a geometry-optimized BaIrOs2 structure.

The structure belongs to space group P2/m (No. 10); the cell edges are 2.881, 4.467 and 6.373 Å and the angles 90.00°, 100.12° and 90.00°. The inequivalent atoms are Ba at (0.000, 0.000, 0.000), Ir at (0.500, 0.000, 0.500) and Os at (0.290, 0.500, 0.664).

---

two:
## BaIrOs2 (GGA-PBEsol)

Data for a geometry-optimized BaIrOs2 structure.

The structure belongs to space group R-3m (No. 166, hexagonal axes); the cell edges are 2.8498, 2.8498 and 30.6039 Å and the angles 90.00°, 90.00° and 120.00°. The inequivalent atoms are Ba at (0.0000, 0.0000, 0.0000), Ir at (0.0000, 0.0000, 0.5000) and Os at (0.0000, 0.0000, 0.2356).

---

Which structure wins on stability? one wins.

---

one:
## Li2CoSiO4 (GGA-PBEsol)

Data for a geometry-optimized Li2CoSiO4 structure.

The structure belongs to space group P2_1/c (No. 14); the cell edges are 6.205, 4.976 and 10.688 Å and the angles 90.00°, 90.94° and 90.00°. The inequivalent atoms are Li at (0.002, 0.195, 0.416), Li at (0.237, 0.202, 0.170), Co at (0.491, 0.710, 0.091), Si at (0.245, 0.697, 0.336), O at (0.033, 0.696, 0.906), O at (0.250, 0.694, 0.690), O at (0.255, 0.135, 0.838) and O at (0.472, 0.694, 0.907).

---

two:
## Li2CoSiO4 (GGA-PBEsol)

Data for a geometry-optimized Li2CoSiO4 structure.

The structure belongs to space group P3_121 (No. 152); the cell edges are 4.9836, 4.9836 and 11.2871 Å and the angles 90.00°, 90.00° and 120.00°. The inequivalent atoms are Li at (0.1225, 0.6704, 0.4137), Co at (0.0000, 0.5366, 0.1667), Si at (0.0000, 0.8169, 0.6667), O at (0.1180, 0.6854, 0.7769) and O at (0.1353, 0.8443, 0.0406).

---

Which structure wins on stability? one wins.

---

one:
## LaPS2Cl (GGA-PBEsol)

Data for a geometry-optimized LaPS2Cl structure.

The structure belongs to space group P4/mmm (No. 123); the cell edges are 5.398, 5.398 and 5.895 Å and the angles 90.00°, 90.00° and 90.00°. The inequivalent atoms are La at (0.000, 0.000, 0.000), P at (0.000, 0.000, 0.500), S at (0.000, 0.500, 0.000) and Cl at (0.500, 0.500, 0.500).

---

two:
## LaPS2Cl (GGA-PBEsol)

Data for a geometry-optimized LaPS2Cl structure.

The structure belongs to space group P4/mmm (No. 123); the cell edges are 5.538, 5.538 and 5.349 Å and the angles 90.00°, 90.00° and 90.00°. The inequivalent atoms are La at (0.000, 0.000, 0.000), P at (0.500, 0.500, 0.500), S at (0.000, 0.500, 0.000) and Cl at (0.000, 0.000, 0.500).

---

Which structure wins on stability? two wins.

---

one:
## Os2W (GGA-PBEsol)

Data for a geometry-optimized Os2W structure.

The structure belongs to space group Cmcm (No. 63); the cell edges are 8.294, 4.769 and 4.403 Å and the angles 90.00°, 90.00° and 90.00°. The inequivalent atoms are Os at (0.169, 0.168, 0.250) and W at (0.000, 0.325, 0.750).

---

two:
## Os2W (GGA-PBEsol)

Data for a geometry-optimized Os2W structure.

The structure belongs to space group I4/mmm (No. 139); the cell edges are 2.735, 2.735 and 11.713 Å and the angles 90.00°, 90.00° and 90.00°. The inequivalent atoms are Os at (0.000, 0.000, 0.171) and W at (0.000, 0.000, 0.500).

---

Which structure wins on stability? one wins.

---

one:
## MnCo2Ru (GGA-PBEsol)

Data for a geometry-optimized MnCo2Ru structure.

The structure belongs to space group P4/mmm (No. 123); the cell edges are 2.491, 2.491 and 7.047 Å and the angles 90.00°, 90.00° and 90.00°. The inequivalent atoms are Mn at (0.000, 0.000, 0.000), Co at (0.500, 0.500, 0.239) and Ru at (0.000, 0.000, 0.500).

---

two:
## MnCo2Ru (GGA-PBEsol)

Data for a geometry-optimized MnCo2Ru structure.

The structure belongs to space group R3m (No. 160, hexagonal axes); the cell edges are 2.5327, 2.5327 and 24.2864 Å and the angles 90.00°, 90.00° and 120.00°. The inequivalent atoms are Mn at (0.0000, 0.0000, 0.0000), Co at (0.0000, 0.0000, 0.2518), Co at (0.0000, 0.0000, 0.5055) and Ru at (0.0000, 0.0000, 0.7498).

---

Which structure wins on stability? one wins.

---

one:
## MnCo2Mo (GGA-PBEsol)

Data for a geometry-optimized MnCo2Mo structure.

The structure belongs to space group P4/mmm (No. 123); the cell edges are 3.549, 3.549 and 3.587 Å and the angles 90.00°, 90.00° and 90.00°. The inequivalent atoms are Mn at (0.000, 0.000, 0.000), Co at (0.000, 0.500, 0.500) and Mo at (0.500, 0.500, 0.000).

---

two:
## MnCo2Mo (GGA-PBEsol)

Data for a geometry-optimized MnCo2Mo structure.

The structure belongs to space group I-4m2 (No. 119); the cell edges are 3.564, 3.564 and 7.228 Å and the angles 90.00°, 90.00° and 90.00°. The inequivalent atoms are Mn at (0.000, 0.000, 0.000), Co at (0.000, 0.000, 0.500), Co at (0.000, 0.500, 0.250) and Mo at (0.000, 0.500, 0.750).

---

Which structure wins on stability? one wins.

---

one:
## ReC (GGA-PBEsol)

Data for a geometry-optimized ReC structure.

The structure belongs to space group I4_1/amd (No. 141, origin choice 2); the cell edges are 2.956, 2.956 and 9.613 Å and the angles 90.00°, 90.00° and 90.00°. The inequivalent atoms are Re at (0.000, 0.250, 0.375) and C at (0.000, 0.250, 0.875).

---

two:
## ReC (GGA-PBEsol)

Data for a geometry-optimized ReC structure.

The structure belongs to space group R-3m (No. 166, hexagonal axes); the cell edges are 3.4558, 3.4558 and 13.3979 Å and the angles 90.00°, 90.00° and 120.00°. The inequivalent atoms are Re at (0.0000, 0.0000, 0.2474) and C at (0.0000, 0.0000, 0.0891).

---

Which structure wins on stability? two wins.